# SrZrP2 (PBE, relaxed)
# - Uncorrected energy: -6.213 eV per atom
# - DFT formation energy: -0.95 eV per atom
# - Magnetization: 0.00 Bohr magnetons per cell
# - Theoretical density: 4.2 Mg/m³
# - Fermi-level density of states: 0.47 states/eV/f.u.
data_SrZrP2
_chemical_formula_sum 'Sr1 Zr1 P2'
_space_group_name_H-M_alt 'P 4 m m'
_space_group_IT_number 99
_cell_length_a 3.9869
_cell_length_b 3.9869
_cell_length_c 5.9954
_cell_angle_alpha 90.00
_cell_angle_beta 90.00
_cell_angle_gamma 90.00
loop_
_space_group_symop_operation_xyz
'x,y,z'
'-y,x,z'
'-x,-y,z'
'y,-x,z'
'-x,y,z'
'y,x,z'
'x,-y,z'
'-y,-x,z'
loop_
_atom_site_label
_atom_site_type_symbol
_atom_site_fract_x
_atom_site_fract_y
_atom_site_fract_z
_atom_site_occupancy
Sr1 Sr 0.0000 0.0000 0.0000 1
Zr1 Zr 0.5000 0.5000 0.5285 1
P1 P 0.0000 0.0000 0.4951 1
P2 P 0.5000 0.5000 0.9358 1


# SrZrP2 (PBE, relaxed)
# - Uncorrected energy: -6.471 eV per atom
# - DFT formation energy: -1.21 eV per atom
# - Magnetization: 0.00 Bohr magnetons per cell
# - Theoretical density: 4.3 Mg/m³
# - Fermi-level density of states: 0.61 states/eV/f.u.
data_SrZrP2
_chemical_formula_sum 'Sr3 Zr3 P6'
_space_group_name_H-M_alt 'R -3 m'
_space_group_IT_number 166
_space_group_name_Hall '-R 3 2"'
_cell_length_a 3.9307
_cell_length_b 3.9307
_cell_length_c 20.7167
_cell_angle_alpha 90.00
_cell_angle_beta 90.00
_cell_angle_gamma 120.00
loop_
_atom_site_label
_atom_site_type_symbol
_atom_site_fract_x
_atom_site_fract_y
_atom_site_fract_z
_atom_site_occupancy
Sr1 Sr 0.0000 0.0000 0.0000 1
Zr1 Zr 0.0000 0.0000 0.5000 1
P1 P 0.0000 0.0000 0.2371 1


# Sr2ZrP (PBE, relaxed)
# - Uncorrected energy: -4.791 eV per atom
# - DFT formation energy: -0.46 eV per atom
# - Magnetization: 0.00 Bohr magnetons per cell
# - Theoretical density: 3.7 Mg/m³
# - Fermi-level density of states: 4.12 states/eV/f.u.
data_Sr2ZrP
_chemical_formula_sum 'Sr6 Zr3 P3'
_space_group_name_H-M_alt 'R 3 m'
_space_group_IT_number 160
_space_group_name_Hall 'R 3 -2"'
_cell_length_a 3.9746
_cell_length_b 3.9746
_cell_length_c 29.6420
_cell_angle_alpha 90.00
_cell_angle_beta 90.00
_cell_angle_gamma 120.00
loop_
_atom_site_label
_atom_site_type_symbol
_atom_site_fract_x
_atom_site_fract_y
_atom_site_fract_z
_atom_site_occupancy
Sr1 Sr 0.0000 0.0000 0.0000 1
Sr2 Sr 0.0000 0.0000 0.2056 1
Zr1 Zr 0.0000 0.0000 0.7660 1
P1 P 0.0000 0.0000 0.4733 1


# SrZr2P (PBE, relaxed)
# - Uncorrected energy: -6.345 eV per atom
# - DFT formation energy: -0.30 eV per atom
# - Magnetization: 0.00 Bohr magnetons per cell
# - Theoretical density: 4.6 Mg/m³
# - Fermi-level density of states: 3.77 states/eV/f.u.
data_SrZr2P
_chemical_formula_sum 'Sr2 Zr4 P2'
_space_group_name_H-M_alt 'C 1 m 1'
_space_group_IT_number 8
_cell_length_a 9.3605
_cell_length_b 3.5556
_cell_length_c 7.0194
_cell_angle_alpha 90.00
_cell_angle_beta 110.99
_cell_angle_gamma 90.00
loop_
_space_group_symop_operation_xyz
'x,y,z'
'x,-y,z'
'x+1/2,y+1/2,z'
'x+1/2,-y+1/2,z'
loop_
_atom_site_label
_atom_site_type_symbol
_atom_site_fract_x
_atom_site_fract_y
_atom_site_fract_z
_atom_site_occupancy
Sr1 Sr 0.0000 0.0000 0.0000 1
Zr1 Zr 0.1668 0.0000 0.6360 1
Zr2 Zr 0.3864 0.0000 0.4001 1
P1 P 0.1665 0.5000 0.3622 1


# Sr2ZrP (PBE, relaxed)
# - Uncorrected energy: -4.747 eV per atom
# - DFT formation energy: -0.42 eV per atom
# - Magnetization: 0.02 Bohr magnetons per cell
# - Theoretical density: 3.8 Mg/m³
# - Fermi-level density of states: 4.29 states/eV/f.u.
data_Sr2ZrP
_chemical_formula_sum 'Sr4 Zr2 P2'
_space_group_name_H-M_alt 'I m m m'
_space_group_IT_number 71
_space_group_name_Hall '-I 2 2'
_cell_length_a 3.6910
_cell_length_b 3.8462
_cell_length_c 18.4863
_cell_angle_alpha 90.00
_cell_angle_beta 90.00
_cell_angle_gamma 90.00
loop_
_atom_site_label
_atom_site_type_symbol
_atom_site_fract_x
_atom_site_fract_y
_atom_site_fract_z
_atom_site_occupancy
Sr1 Sr 0.0000 0.0000 0.1572 1
Zr1 Zr 0.0000 0.5000 0.0000 1
P1 P 0.0000 0.5000 0.5000 1


# Sr3ZrP3 (PBE, relaxed)
# - Uncorrected energy: -5.312 eV per atom
# - DFT formation energy: -1.05 eV per atom
# - Magnetization: 0.00 Bohr magnetons per cell
# - Theoretical density: 3.6 Mg/m³
# - Fermi-level density of states: 1.69 states/eV/f.u.
data_Sr3ZrP3
_chemical_formula_sum 'Sr24 Zr8 P24'
_space_group_name_H-M_alt 'C m c e'
_space_group_IT_number 64
_space_group_name_Hall '-C 2ac 2'
_cell_length_a 18.7093
_cell_length_b 7.0048
_cell_length_c 12.4383
_cell_angle_alpha 90.00
_cell_angle_beta 90.00
_cell_angle_gamma 90.00
loop_
_atom_site_label
_atom_site_type_symbol
_atom_site_fract_x
_atom_site_fract_y
_atom_site_fract_z
_atom_site_occupancy
Sr1 Sr 0.0000 0.1493 0.1593 1
Sr2 Sr 0.1769 0.1595 0.8644 1
Zr1 Zr 0.0874 0.0000 0.5000 1
P1 P 0.0000 0.2244 0.3995 1
P2 P 0.1605 0.2183 0.6205 1


What did the second record say?
# SrZrP2 (PBE, relaxed)
# - Uncorrected energy: -6.471 eV per atom
# - DFT formation energy: -1.21 eV per atom
# - Magnetization: 0.00 Bohr magnetons per cell
# - Theoretical density: 4.3 Mg/m³
# - Fermi-level density of states: 0.61 states/eV/f.u.
data_SrZrP2
_chemical_formula_sum 'Sr3 Zr3 P6'
_space_group_name_H-M_alt 'R -3 m'
_space_group_IT_number 166
_space_group_name_Hall '-R 3 2"'
_cell_length_a 3.9307
_cell_length_b 3.9307
_cell_length_c 20.7167
_cell_angle_alpha 90.00
_cell_angle_beta 90.00
_cell_angle_gamma 120.00
loop_
_atom_site_label
_atom_site_type_symbol
_atom_site_fract_x
_atom_site_fract_y
_atom_site_fract_z
_atom_site_occupancy
Sr1 Sr 0.0000 0.0000 0.0000 1
Zr1 Zr 0.0000 0.0000 0.5000 1
P1 P 0.0000 0.0000 0.2371 1